# Li5Au7 PBE optimized geometry
# - V (Å³/f.u.) = 198.15
# - formation enthalpy at 0 K (meV/atom) = -423.3
data_Li5Au7
_space_group_name_H-M_alt 'P 1'
_space_group_IT_number 1
_cell_length_a 7.480
_cell_length_b 7.480
_cell_length_c 10.853
_cell_angle_alpha 118.97
_cell_angle_beta 118.97
_cell_angle_gamma 22.04
loop_
_space_group_symop_operation_xyz
'x,y,z'
loop_
_atom_site_label
_atom_site_type_symbol
_atom_site_fract_x
_atom_site_fract_y
_atom_site_fract_z
Li1 Li 0.000 0.000 0.000
Li2 Li 0.159 0.159 0.488
Li3 Li 0.308 0.308 0.234
Li4 Li 0.692 0.692 0.766
Li5 Li 0.841 0.841 0.512
Au1 Au 0.023 0.023 0.746
Au2 Au 0.338 0.338 0.730
Au3 Au 0.338 0.338 0.997
Au4 Au 0.500 0.500 0.500
Au5 Au 0.662 0.662 0.003
Au6 Au 0.662 0.662 0.270
Au7 Au 0.977 0.977 0.254


# NdSmDy4Er2 PBE optimized geometry
# - V (Å³/f.u.) = 265.33
# - formation enthalpy at 0 K (meV/atom) = 430.2
data_NdSmDy4Er2
_space_group_name_H-M_alt 'P 1'
_space_group_IT_number 1
_cell_length_a 9.496
_cell_length_b 9.496
_cell_length_c 6.796
_cell_angle_alpha 110.96
_cell_angle_beta 110.96
_cell_angle_gamma 88.53
loop_
_space_group_symop_operation_xyz
'x,y,z'
loop_
_atom_site_label
_atom_site_type_symbol
_atom_site_fract_x
_atom_site_fract_y
_atom_site_fract_z
Nd1 Nd 0.000 0.000 0.000
Nd2 Nd 0.000 0.000 0.500
Sm1 Sm 0.000 0.500 0.000
Sm2 Sm 0.500 0.000 0.500
Dy1 Dy 0.251 0.256 0.505
Dy2 Dy 0.254 0.746 0.501
Dy3 Dy 0.254 0.746 0.999
Dy4 Dy 0.256 0.251 0.005
Dy5 Dy 0.744 0.749 0.995
Dy6 Dy 0.746 0.254 0.001
Dy7 Dy 0.746 0.254 0.499
Dy8 Dy 0.749 0.744 0.495
Er1 Er 0.000 0.500 0.500
Er2 Er 0.500 0.000 0.000
Er3 Er 0.500 0.500 0.000
Er4 Er 0.500 0.500 0.500


# La2AlGa4Pt3 PBE optimized geometry
# - V (Å³/f.u.) = 200.21
# - formation enthalpy at 0 K (meV/atom) = -919.8
data_La2AlGa4Pt3
_space_group_name_H-M_alt 'P 1'
_space_group_IT_number 1
_cell_length_a 4.313
_cell_length_b 4.313
_cell_length_c 10.762
_cell_angle_alpha 90.00
_cell_angle_beta 90.00
_cell_angle_gamma 90.00
loop_
_space_group_symop_operation_xyz
'x,y,z'
loop_
_atom_site_label
_atom_site_type_symbol
_atom_site_fract_x
_atom_site_fract_y
_atom_site_fract_z
La1 La 0.000 0.500 0.245
La2 La 0.500 0.000 0.755
Al1 Al 0.000 0.000 0.500
Ga1 Ga 0.000 0.000 0.000
Ga2 Ga 0.000 0.500 0.638
Ga3 Ga 0.500 0.000 0.362
Ga4 Ga 0.500 0.500 0.000
Pt1 Pt 0.000 0.500 0.871
Pt2 Pt 0.500 0.000 0.129
Pt3 Pt 0.500 0.500 0.500


# Dy3SeS3 PBE optimized geometry
# - formation energy without anion corrections (eV per atom) = -1.993
# - V (Å³/f.u.) = 177.86
# - energy above the lowest structure with this stoichiometry (eV per atom) = 0.0000
data_Dy3SeS3
_space_group_name_H-M_alt 'P 1'
_space_group_IT_number 1
_cell_length_a 9.741
_cell_length_b 9.741
_cell_length_c 9.741
_cell_angle_alpha 109.47
_cell_angle_beta 109.47
_cell_angle_gamma 109.47
loop_
_space_group_symop_operation_xyz
'x,y,z'
loop_
_atom_site_label
_atom_site_type_symbol
_atom_site_fract_x
_atom_site_fract_y
_atom_site_fract_z
Dy1 Dy 0.240 0.750 0.260
Dy2 Dy 0.240 0.990 0.980
Dy3 Dy 0.260 0.240 0.750
Dy4 Dy 0.260 0.520 0.510
Dy5 Dy 0.510 0.260 0.520
Dy6 Dy 0.510 0.750 0.990
Dy7 Dy 0.520 0.510 0.260
Dy8 Dy 0.750 0.260 0.240
Dy9 Dy 0.750 0.990 0.510
Dy10 Dy 0.980 0.240 0.990
Dy11 Dy 0.990 0.510 0.750
Dy12 Dy 0.990 0.980 0.240
Se1 Se 0.000 0.250 0.500
Se2 Se 0.250 0.250 0.250
Se3 Se 0.250 0.500 0.000
Se4 Se 0.500 0.000 0.250
S1 S 0.006 0.012 0.756
S2 S 0.006 0.494 0.250
S3 S 0.012 0.756 0.006
S4 S 0.250 0.006 0.494
S5 S 0.250 0.744 0.756
S6 S 0.488 0.494 0.744
S7 S 0.494 0.250 0.006
S8 S 0.494 0.744 0.488
S9 S 0.744 0.488 0.494
S10 S 0.744 0.756 0.250
S11 S 0.756 0.006 0.012
S12 S 0.756 0.250 0.744


# PuMgCdGe PBE optimized geometry
# - V (Å³/f.u.) = 89.94
# - formation enthalpy at 0 K (meV/atom) = -181.4
data_PuMgCdGe
_space_group_name_H-M_alt 'P 1'
_space_group_IT_number 1
_cell_length_a 5.029
_cell_length_b 5.029
_cell_length_c 5.029
_cell_angle_alpha 60.00
_cell_angle_beta 60.00
_cell_angle_gamma 60.00
loop_
_space_group_symop_operation_xyz
'x,y,z'
loop_
_atom_site_label
_atom_site_type_symbol
_atom_site_fract_x
_atom_site_fract_y
_atom_site_fract_z
Pu1 Pu 0.000 0.000 0.000
Mg1 Mg 0.500 0.500 0.500
Cd1 Cd 0.750 0.750 0.750
Ge1 Ge 0.250 0.250 0.250


# Sc3Be PBE optimized geometry
# - V (Å³/f.u.) = 85.90
# - energy above the lowest structure with this stoichiometry (eV per atom) = 0.1934
# - formation enthalpy at 0 K (meV/atom) = 198.9
data_Sc3Be
_space_group_name_H-M_alt 'P 1'
_space_group_IT_number 1
_cell_length_a 3.353
_cell_length_b 3.353
_cell_length_c 8.821
_cell_angle_alpha 90.00
_cell_angle_beta 90.00
_cell_angle_gamma 120.00
loop_
_space_group_symop_operation_xyz
'x,y,z'
loop_
_atom_site_label
_atom_site_type_symbol
_atom_site_fract_x
_atom_site_fract_y
_atom_site_fract_z
Sc1 Sc 0.000 0.000 0.000
Sc2 Sc 0.667 0.333 0.292
Sc3 Sc 0.667 0.333 0.708
Be1 Be 0.000 0.000 0.500


# KMg6Mn PBE optimized geometry
# - V (Å³/f.u.) = 201.63
# - energy above the lowest structure with this stoichiometry (eV per atom) = 0.0000
# - formation enthalpy at 0 K (meV/atom) = 307.9
data_KMg6Mn
_space_group_name_H-M_alt 'P 1'
_space_group_IT_number 1
_cell_length_a 5.179
_cell_length_b 6.729
_cell_length_c 6.729
_cell_angle_alpha 59.28
_cell_angle_beta 90.00
_cell_angle_gamma 90.00
loop_
_space_group_symop_operation_xyz
'x,y,z'
loop_
_atom_site_label
_atom_site_type_symbol
_atom_site_fract_x
_atom_site_fract_y
_atom_site_fract_z
K1 K 0.000 0.000 0.000
Mg1 Mg 0.000 0.010 0.483
Mg2 Mg 0.000 0.483 0.010
Mg3 Mg 0.000 0.497 0.497
Mg4 Mg 0.500 0.172 0.634
Mg5 Mg 0.500 0.634 0.172
Mg6 Mg 0.500 0.663 0.663
Mn1 Mn 0.500 0.190 0.190


# Rb5Tl2Cl12 PBE optimized geometry
# - formation energy without anion corrections (eV per atom) = -1.239
# - V (Å³/f.u.) = 734.57
data_Rb5Tl2Cl12
_space_group_name_H-M_alt 'P 1'
_space_group_IT_number 1
_cell_length_a 9.638
_cell_length_b 9.638
_cell_length_c 9.236
_cell_angle_alpha 110.19
_cell_angle_beta 110.19
_cell_angle_gamma 70.98
loop_
_space_group_symop_operation_xyz
'x,y,z'
loop_
_atom_site_label
_atom_site_type_symbol
_atom_site_fract_x
_atom_site_fract_y
_atom_site_fract_z
Rb1 Rb 0.000 0.000 0.000
Rb2 Rb 0.255 0.255 0.467
Rb3 Rb 0.342 0.342 0.015
Rb4 Rb 0.658 0.658 0.985
Rb5 Rb 0.745 0.745 0.533
Tl1 Tl 0.194 0.806 0.500
Tl2 Tl 0.806 0.194 0.500
Cl1 Cl 0.110 0.110 0.666
Cl2 Cl 0.115 0.732 0.703
Cl3 Cl 0.172 0.542 0.303
Cl4 Cl 0.268 0.885 0.297
Cl5 Cl 0.438 0.438 0.775
Cl6 Cl 0.458 0.828 0.697
Cl7 Cl 0.542 0.172 0.303
Cl8 Cl 0.562 0.562 0.225
Cl9 Cl 0.732 0.115 0.703
Cl10 Cl 0.828 0.458 0.697
Cl11 Cl 0.885 0.268 0.297
Cl12 Cl 0.890 0.890 0.334


no.,size of the total moment (μB per cell)
1,0.000
2,6.061
3,0.000
4,0.000
5,5.768
6,0.000
7,4.175
8,1.030